[1]
Here is a geometry-optimized Pr5CoSb2 structure from the Alexandria database. Energies are from PBE-GGA.

Structure (POSCAR):
```
Pr5CoSb2
1.0
5.944 0.000 0.000
-2.972 4.990 0.000
0.000 0.000 16.276
Pr Sb Co
10 4 2
direct
0.255 0.509 0.750
0.745 0.491 0.250
0.588 0.177 0.619
0.081 0.161 0.111
0.919 0.839 0.611
0.919 0.839 0.889
0.412 0.823 0.381
0.412 0.823 0.119
0.081 0.161 0.389
0.588 0.177 0.881
0.255 0.510 0.941
0.745 0.490 0.441
0.745 0.490 0.059
0.255 0.510 0.559
0.769 0.538 0.750
0.231 0.462 0.250
```

Results
- ΔE to the lowest computed polymorph (meV/atom) = 308
- uncorrected formation energy (meV/atom) = -377
- electronic total energy (eV per atom) = -5.2828
- DOS at the Fermi energy (states/eV per cell) = 15.62
- M_tot (μB/atom) = 0.000
- space-group type = Cmcm

=====

[2]
Here is a geometry-optimized Pr3CoSb structure from the Alexandria database. Energies are from PBE-GGA.

Structure (POSCAR):
```
Pr3CoSb
1.0
-1.023 -4.126 -3.141
5.159 -0.482 -1.047
0.531 -3.268 4.120
Pr Co Sb
3 1 1
direct
0.000 0.000 0.500
0.000 0.500 0.000
0.500 0.000 0.000
0.000 0.000 0.000
0.500 0.500 0.500
```

Results
- uncorrected formation energy (meV/atom) = -354
- electronic total energy (eV per atom) = -5.4671
- DOS at the Fermi energy (states/eV per cell) = 5.48
- M_tot (μB/atom) = 0.000
- space-group type = Pm-3m

=====

[3]
Here is a geometry-optimized Pr12Co6Sb structure from the Alexandria database. Energies are from PBE-GGA.

Structure (POSCAR):
```
Pr12Co6Sb
1.0
8.252 0.000 -2.917
-4.126 7.146 -2.917
0.000 0.000 8.752
Co Pr Sb
6 12 1
direct
0.500 0.890 0.390
0.110 0.610 0.500
0.890 0.390 0.500
0.500 0.110 0.610
0.390 0.500 0.890
0.610 0.500 0.110
0.693 0.500 0.807
0.807 0.693 0.500
0.807 0.307 0.114
0.693 0.886 0.193
0.307 0.114 0.807
0.500 0.807 0.693
0.193 0.693 0.886
0.193 0.307 0.500
0.500 0.193 0.307
0.307 0.500 0.193
0.886 0.193 0.693
0.114 0.807 0.307
0.000 0.000 0.000
```

Results
- uncorrected formation energy (meV/atom) = -174
- electronic total energy (eV per atom) = -5.6538
- DOS at the Fermi energy (states/eV per cell) = 10.85
- M_tot (μB/atom) = 0.000
- space-group type = Im-3

=====

[4]
Here is a geometry-optimized Pr4CoSb structure from the Alexandria database. Energies are from PBE-GGA.

Structure (POSCAR):
```
Pr4CoSb
1.0
6.111 0.000 0.000
0.000 7.741 0.501
-3.055 -2.767 7.459
Sb Pr Co
2 8 2
direct
0.127 0.250 0.000
0.873 0.750 0.000
0.716 0.356 0.640
0.284 0.644 0.360
0.076 0.144 0.360
0.543 0.056 0.834
0.708 0.444 0.166
0.457 0.944 0.166
0.292 0.556 0.834
0.924 0.856 0.640
0.500 0.000 0.500
0.000 0.500 0.500
```

Results
- uncorrected formation energy (meV/atom) = -333
- electronic total energy (eV per atom) = -5.3911
- DOS at the Fermi energy (states/eV per cell) = 10.83
- M_tot (μB/atom) = 0.000
- space-group type = C2/c

=====

[5]
Here is a geometry-optimized Pr8CoSb2 structure from the Alexandria database. Energies are from PBE-GGA.

Structure (POSCAR):
```
Pr8CoSb2
1.0
-1.837 3.642 2.278
-6.044 -4.510 2.337
6.802 -3.458 6.224
Pr Co Sb
8 1 2
direct
0.787 0.650 0.573
0.213 0.350 0.427
0.406 0.485 0.812
0.643 0.026 0.286
0.996 0.212 0.992
0.594 0.515 0.188
0.004 0.788 0.008
0.357 0.974 0.714
0.500 0.000 0.000
0.183 0.765 0.365
0.817 0.235 0.635
```

Results
- uncorrected formation energy (meV/atom) = -398
- electronic total energy (eV per atom) = -5.2699
- DOS at the Fermi energy (states/eV per cell) = 11.92
- M_tot (μB/atom) = 0.000
- space-group type = C2/m

=====

[6]
Here is a geometry-optimized Pr5Co2Sb structure from the Alexandria database. Energies are from PBE-GGA.

Structure (POSCAR):
```
Pr5Co2Sb
1.0
-5.597 3.794 -4.199
2.072 -4.122 -6.486
-2.773 -4.706 6.989
Co Pr Sb
4 10 2
direct
0.138 0.362 0.000
0.862 0.638 0.000
0.362 0.862 0.000
0.638 0.138 0.000
0.976 0.476 0.269
0.524 0.708 0.731
0.292 0.792 0.269
0.000 0.000 0.000
0.500 0.500 0.000
0.476 0.292 0.269
0.024 0.524 0.731
0.208 0.024 0.731
0.792 0.976 0.269
0.708 0.208 0.731
0.250 0.250 0.500
0.750 0.750 0.500
```

Results
- uncorrected formation energy (meV/atom) = -321
- electronic total energy (eV per atom) = -5.6002
- DOS at the Fermi energy (states/eV per cell) = 16.30
- M_tot (μB/atom) = 0.000
- space-group type = I4/mcm

=====

[7]
Here is a geometry-optimized Pr12CoSb6 structure from the Alexandria database. Energies are from PBE-GGA.

Structure (POSCAR):
```
Pr12CoSb6
1.0
8.865 -0.037 -0.045
-1.381 8.757 -0.045
-1.381 -1.609 8.608
Pr Sb Co
12 6 1
direct
0.558 0.193 0.422
0.988 0.311 0.053
0.012 0.689 0.947
0.311 0.053 0.988
0.193 0.422 0.558
0.442 0.807 0.578
0.422 0.558 0.193
0.053 0.988 0.311
0.947 0.012 0.689
0.807 0.578 0.442
0.578 0.442 0.807
0.689 0.947 0.012
0.358 0.689 0.877
0.877 0.358 0.689
0.689 0.877 0.358
0.123 0.642 0.311
0.311 0.123 0.642
0.642 0.311 0.123
0.000 0.000 0.000
```

Results
- uncorrected formation energy (meV/atom) = -645
- electronic total energy (eV per atom) = -5.3391
- DOS at the Fermi energy (states/eV per cell) = 17.92
- M_tot (μB/atom) = 0.000
- space-group type = R-3

=====

[8]
Here is a geometry-optimized Pr5CoSb2 structure from the Alexandria database. Energies are from PBE-GGA.

Structure (POSCAR):
```
Pr5CoSb2
1.0
8.300 0.000 0.000
0.000 9.185 0.000
0.000 0.000 12.611
Sb Pr Co
8 20 4
direct
0.419 0.500 0.175
0.581 0.000 0.825
0.081 0.500 0.675
0.419 0.000 0.175
0.081 0.000 0.675
0.919 0.000 0.325
0.919 0.500 0.325
0.581 0.500 0.825
0.312 0.000 0.439
0.188 0.500 0.939
0.630 0.750 0.304
0.000 0.750 0.500
0.312 0.500 0.439
0.131 0.750 0.196
0.130 0.250 0.196
0.688 0.000 0.561
0.812 0.500 0.061
0.812 0.000 0.061
0.500 0.250 0.000
0.688 0.500 0.561
0.369 0.750 0.696
0.870 0.750 0.804
0.188 0.000 0.939
0.370 0.250 0.696
0.500 0.750 0.000
0.000 0.250 0.500
0.869 0.250 0.804
0.631 0.250 0.304
0.999 0.250 0.000
0.501 0.250 0.500
0.499 0.750 0.500
0.001 0.750 0.000
```

Results
- ΔE to the lowest computed polymorph (meV/atom) = 0
- uncorrected formation energy (meV/atom) = -685
- electronic total energy (eV per atom) = -5.5909
- DOS at the Fermi energy (states/eV per cell) = 23.24
- M_tot (μB/atom) = 0.000
- space-group type = Pnma

=====

[9]
Here is a geometry-optimized PrScCo2 structure from the Alexandria database. Energies are from PBE-GGA.

Structure (POSCAR):
```
PrScCo2
1.0
-0.016 0.782 3.216
-1.272 -2.971 0.717
6.138 -2.475 0.632
Co Sc Pr
2 1 1
direct
0.000 0.000 0.784
0.000 0.000 0.216
0.500 0.500 0.000
0.500 0.500 0.500
```

Results
- ΔE to the lowest computed polymorph (meV/atom) = 0
- E_form (eV/atom) = -0.066
- electronic total energy (eV per atom) = -6.3969
- DOS at the Fermi energy (states/eV per cell) = 3.18
- M_tot (μB/atom) = 0.209
- space-group type = P4/mmm

=====

[10]
Here is a geometry-optimized PrScCo2 structure from the Alexandria database. Energies are from PBE-GGA.

Structure (POSCAR):
```
PrScCo2
1.0
3.325 0.000 0.000
0.000 4.688 0.000
0.000 0.000 4.688
Sc Pr Co
1 1 2
direct
0.500 0.000 0.000
0.500 0.500 0.500
0.000 0.000 0.500
0.000 0.500 0.000
```

Results
- ΔE to the lowest computed polymorph (meV/atom) = 35
- E_form (eV/atom) = -0.031
- electronic total energy (eV per atom) = -6.3615
- DOS at the Fermi energy (states/eV per cell) = 1.84
- M_tot (μB/atom) = 0.193
- space-group type = P4/mmm

=====

[11]
Here is a geometry-optimized PrSc2Co structure from the Alexandria database. Energies are from PBE-GGA.

Structure (POSCAR):
```
PrSc2Co
1.0
3.609 0.000 0.000
1.804 3.125 0.000
1.804 1.042 8.670
Sc Pr Co
2 1 1
direct
0.280 0.280 0.159
0.720 0.720 0.841
0.500 0.500 0.500
0.000 0.000 0.000
```

Results
- ΔE to the lowest computed polymorph (meV/atom) = 124
- E_form (eV/atom) = -0.014
- electronic total energy (eV per atom) = -6.1513
- DOS at the Fermi energy (states/eV per cell) = 4.45
- M_tot (μB/atom) = 0.000
- space-group type = R-3m

=====

[12]
Here is a geometry-optimized PrSc2Co structure from the Alexandria database. Energies are from PBE-GGA.

Structure (POSCAR):
```
PrSc2Co
1.0
-2.408 1.967 0.941
-2.170 -2.301 -0.742
0.567 -3.072 7.872
Sc Pr Co
2 1 1
direct
0.000 0.000 0.175
0.000 0.000 0.825
0.500 0.500 0.500
0.500 0.500 0.000
```

Results
- ΔE to the lowest computed polymorph (meV/atom) = 0
- E_form (eV/atom) = -0.138
- electronic total energy (eV per atom) = -6.2752
- DOS at the Fermi energy (states/eV per cell) = 4.03
- M_tot (μB/atom) = 0.107
- space-group type = P4/mmm

=====

[13]
Here is a geometry-optimized PrScCo2 structure from the Alexandria database. Energies are from PBE-GGA.

Structure (POSCAR):
```
PrScCo2
1.0
4.690 0.000 0.000
2.345 4.061 0.000
2.345 1.354 3.829
Pr Sc Co
1 1 2
direct
0.000 0.000 0.000
0.500 0.500 0.500
0.250 0.250 0.250
0.750 0.750 0.750
```

Results
- ΔE to the lowest computed polymorph (meV/atom) = 23
- E_form (eV/atom) = -0.043
- electronic total energy (eV per atom) = -6.3739
- DOS at the Fermi energy (states/eV per cell) = 1.13
- M_tot (μB/atom) = 0.160
- space-group type = Fm-3m

=====

[14]
Here is a geometry-optimized PrScCo structure from the Alexandria database. Energies are from PBE-GGA.

Structure (POSCAR):
```
PrScCo
1.0
4.346 0.812 0.663
2.329 8.531 1.079
2.324 2.802 8.131
Sc Co Pr
4 4 4
direct
0.744 0.623 0.373
0.256 0.377 0.627
0.256 0.877 0.127
0.744 0.123 0.873
0.590 0.482 0.732
0.410 0.518 0.268
0.411 0.018 0.768
0.589 0.982 0.232
0.860 0.816 0.566
0.140 0.184 0.434
0.859 0.316 0.067
0.141 0.684 0.933
```

Results
- ΔE to the lowest computed polymorph (meV/atom) = 0
- E_form (eV/atom) = -0.132
- electronic total energy (eV per atom) = -6.2040
- DOS at the Fermi energy (states/eV per cell) = 13.26
- M_tot (μB/atom) = 0.000
- space-group type = P2_1/m

=====

[15]
Here is a geometry-optimized PrScCo4 structure from the Alexandria database. Energies are from PBE-GGA.

Structure (POSCAR):
```
PrScCo4
1.0
5.053 0.000 0.000
2.527 4.376 0.000
2.527 1.459 4.126
Co Pr Sc
4 1 1
direct
0.626 0.626 0.122
0.122 0.626 0.626
0.626 0.122 0.626
0.626 0.626 0.626
0.250 0.250 0.250
0.000 0.000 0.000
```

Results
- E_form (eV/atom) = -0.129
- electronic total energy (eV per atom) = -6.7176
- DOS at the Fermi energy (states/eV per cell) = 8.58
- M_tot (μB/atom) = 0.638
- space-group type = F-43m

=====

[16]
Here is a geometry-optimized Pr2ScCo structure from the Alexandria database. Energies are from PBE-GGA.

Structure (POSCAR):
```
Pr2ScCo
1.0
-0.781 -3.493 0.235
2.574 -2.450 -0.485
2.692 -1.772 9.971
Co Pr Sc
1 2 1
direct
0.500 0.500 0.500
0.892 0.892 0.325
0.108 0.108 0.675
0.000 0.000 0.000
```

Results
- E_form (eV/atom) = 0.337
- electronic total energy (eV per atom) = -5.4121
- DOS at the Fermi energy (states/eV per cell) = 5.93
- M_tot (μB/atom) = 0.023
- space-group type = R-3m

=====

[17]
Here is a geometry-optimized PrScCo structure from the Alexandria database. Energies are from PBE-GGA.

Structure (POSCAR):
```
PrScCo
1.0
-0.777 -3.217 -0.136
2.493 -0.513 -2.119
2.946 0.746 5.874
Pr Sc Co
1 1 1
direct
0.028 0.028 0.056
0.289 0.289 0.579
0.683 0.683 0.365
```

Results
- ΔE to the lowest computed polymorph (meV/atom) = 80
- E_form (eV/atom) = -0.051
- electronic total energy (eV per atom) = -6.1237
- DOS at the Fermi energy (states/eV per cell) = 2.71
- M_tot (μB/atom) = 0.273
- space-group type = I4mm

=====

[18]
Here is a geometry-optimized Pr4CoSe3 structure from the Alexandria database. Energies are from PBE-GGA.

Structure (POSCAR):
```
Pr4CoSe3
1.0
-5.125 3.765 3.366
-2.571 -6.899 -1.503
2.935 -2.734 7.528
Pr Se Co
8 6 2
direct
0.983 0.237 0.645
0.017 0.763 0.355
0.007 0.227 0.116
0.993 0.773 0.884
0.483 0.237 0.355
0.517 0.763 0.645
0.493 0.773 0.116
0.507 0.227 0.884
0.250 0.500 0.875
0.250 0.000 0.620
0.750 0.000 0.380
0.250 0.500 0.383
0.750 0.500 0.617
0.750 0.500 0.125
0.250 0.000 0.123
0.750 0.000 0.877
```

Results
- uncorrected formation energy (meV/atom) = -1359
- electronic total energy (eV per atom) = -5.9437
- DOS at the Fermi energy (states/eV per cell) = 12.20
- M_tot (μB/atom) = 0.000
- space-group type = P2/c

=====

[19]
Here is a geometry-optimized PrCoSe structure from the Alexandria database. Energies are from PBE-GGA.

Structure (POSCAR):
```
PrCoSe
1.0
-0.740 3.664 0.770
0.080 -2.565 2.820
10.608 1.850 1.383
Pr Co Se
2 2 2
direct
0.278 0.555 0.828
0.278 0.555 0.172
0.611 0.223 0.000
0.278 0.556 0.500
0.611 0.222 0.638
0.611 0.222 0.362
```

Results
- uncorrected formation energy (meV/atom) = -304
- electronic total energy (eV per atom) = -5.4277
- DOS at the Fermi energy (states/eV per cell) = 7.71
- M_tot (μB/atom) = 0.409
- space-group type = P-6m2

=====

[20]
Here is a geometry-optimized PrCoSi2 structure from the Alexandria database. Energies are from PBE-GGA.

Structure (POSCAR):
```
PrCoSi2
1.0
4.147 0.000 0.000
0.000 3.904 -0.953
0.000 0.049 8.672
Pr Si Co
2 4 2
direct
0.000 0.144 0.289
0.000 0.856 0.711
0.500 0.708 0.416
0.000 0.500 0.000
0.500 0.292 0.584
0.500 0.000 0.000
0.500 0.572 0.144
0.500 0.428 0.856
```

Results
- uncorrected formation energy (meV/atom) = -707
- electronic total energy (eV per atom) = -6.3900
- DOS at the Fermi energy (states/eV per cell) = 4.72
- M_tot (μB/atom) = 0.000
- space-group type = Cmmm

=====

[21]
Here is a geometry-optimized PrCo9Si4 structure from the Alexandria database. Energies are from PBE-GGA.

Structure (POSCAR):
```
PrCo9Si4
1.0
-3.766 -6.521 -2.504
4.913 -4.805 3.969
-3.876 5.893 3.635
Pr Co Si
2 18 8
direct
0.250 0.250 0.000
0.750 0.750 0.000
0.051 0.809 0.500
0.930 0.800 0.730
0.070 0.200 0.270
0.700 0.570 0.270
0.449 0.949 0.759
0.430 0.700 0.130
0.200 0.930 0.130
0.691 0.449 0.500
0.809 0.309 0.759
0.551 0.051 0.241
0.570 0.300 0.870
0.300 0.430 0.730
0.949 0.191 0.500
0.191 0.691 0.241
0.000 0.500 0.500
0.309 0.551 0.500
0.500 0.000 0.500
0.800 0.070 0.870
0.790 0.953 0.500
0.710 0.210 0.162
0.453 0.290 0.500
0.210 0.047 0.500
0.047 0.547 0.838
0.953 0.453 0.162
0.547 0.710 0.500
0.290 0.790 0.838
```

Results
- uncorrected formation energy (meV/atom) = -473
- electronic total energy (eV per atom) = -6.9317
- DOS at the Fermi energy (states/eV per cell) = 28.54
- M_tot (μB/atom) = 0.332
- space-group type = I4/mcm